MnFe3 after structural relaxation. Source: the Alexandria database, functional GGA-PBEsol.

Summary:
ΔH_f (0 K)	0.09	eV per atom
SG	P2/m, No. 10

a = 2.383 Å, b = 3.938 Å, c = 4.617 Å
α = 90.00°, β = 99.91°, γ = 90.00°
Atoms (fractional coordinates):
Mn (0.000, 0.000, 0.000)
Fe (0.252, 0.500, 0.751)
Fe (0.500, 0.000, 0.500)
Fe (0.748, 0.500, 0.249)

---

TaTe2As after structural relaxation. Source: the Alexandria database, functional GGA-PBEsol.

Summary:
SG	P4/mmm, No. 123
formation energy from raw total energies	0.081	eV per atom

a = 3.425 Å, b = 3.425 Å, c = 7.117 Å
α = 90.00°, β = 90.00°, γ = 90.00°
Atoms (fractional coordinates):
Ta (0.000, 0.000, 0.000)
Te (0.500, 0.500, 0.228)
Te (0.500, 0.500, 0.772)
As (0.000, 0.000, 0.500)

---

SrCuW3 after structural relaxation. Source: the Alexandria database, functional GGA-PBEsol.

Summary:
ΔH_f (0 K)	3.87	eV per atom
SG	Pm-3m, No. 221

a = 4.673 Å, b = 4.673 Å, c = 4.673 Å
α = 90.00°, β = 90.00°, γ = 90.00°
Atoms (fractional coordinates):
Sr (0.000, 0.000, 0.000)
Cu (0.500, 0.500, 0.500)
W (0.000, 0.000, 0.500)
W (0.000, 0.500, 0.000)
W (0.500, 0.000, 0.000)

---

Ba2ZrRh after structural relaxation. Source: the Alexandria database, functional GGA-PBEsol.

Summary:
ΔH_f (0 K)	0.56	eV per atom
SG	F-43m, No. 216
relative energy among the computed polymorphs	19.7	kJ/mol of formula units

a = 5.303 Å, b = 5.303 Å, c = 5.303 Å
α = 60.00°, β = 60.00°, γ = 60.00°
Atoms (fractional coordinates):
Ba (0.000, 0.000, 0.000)
Ba (0.250, 0.250, 0.250)
Zr (0.500, 0.500, 0.500)
Rh (0.750, 0.750, 0.750)